Record 1
Material: CsZnBiTe2
Method: DFT, PBE-GGA
State: optimized geometry

abc: 6.7660 6.7660 6.6761
angles: 90.00 90.00 90.00
Element x y z (fractional)
Cs  0.0000  0.0000  0.0000
Zn  0.5000  0.5000  0.5000
Bi  0.0000  0.0000  0.5000
Te  0.0000  0.5000  0.0000
Te  0.5000  0.0000  0.0000

Calculated values
The crystal system is tetragonal. The calculation puts the formation energy (no corrections) at 1.13 eV/atom.

***

Record 2
Material: Cs3ZrBi2Te6
Method: DFT, PBE-GGA
State: optimized geometry

abc: 8.0198 8.0198 9.1508
angles: 98.40 98.40 120.06
Element x y z (fractional)
Cs  0.0000  0.0000  0.0000
Cs  0.3276  0.6724  0.0000
Cs  0.6724  0.3276  0.0000
Zr  0.5000  0.5000  0.5000
Bi  0.1659  0.8341  0.5000
Bi  0.8341  0.1659  0.5000
Te  0.1253  0.4389  0.3156
Te  0.2499  0.2499  0.6869
Te  0.4389  0.1253  0.3156
Te  0.5611  0.8747  0.6844
Te  0.7501  0.7501  0.3131
Te  0.8747  0.5611  0.6844

Calculated values
The crystal system is monoclinic. The calculation puts the formation energy (no corrections) at -0.71 eV/atom.

***

Record 3
Material: CsThBi
Method: DFT, PBE-GGA
State: optimized geometry

abc: 15.1858 15.1858 15.1858
angles: 19.53 19.53 19.53
Element x y z (fractional)
Cs  0.1103  0.1103  0.1103
Cs  0.8897  0.8897  0.8897
Th  0.3102  0.3102  0.3102
Th  0.6898  0.6898  0.6898
Bi  0.3862  0.3862  0.3862
Bi  0.6138  0.6138  0.6138

Calculated values
The crystal system is trigonal.

***

What are the spin magnetization values for these records? In order: 0.3362 0.0849 0.3281 μB per atom.
What are the DFT total energy values for these records? In order: -0.0487 -0.1418 -0.1546 hartree per atom.